Ac2Ga3GeRh4: relaxed, PBE.

Properties
**Energy**: -5.932 eV/atom
**Energy of formation**: -0.800 eV/atom

Unit cell a=4.4351 b=4.4351 c=10.1494 alpha=90.00 beta=90.00 gamma=90.00
With the nearest neighbours (Å) after each atom.
Space group P-4m2 (No. 115)
One atom of each set of equivalent atoms:
Ac: 0.0000 0.5000 0.2412 x2  8 Rh 3.30-3.42, 7 Ga 3.36-3.68, 2 Ge 3.44
Ga: 0.0000 0.5000 0.8788 x2  5 Rh 2.54-2.59
Ga: 0.5000 0.5000 0.5000 x1  4 Rh 2.55
Ge: 0.0000 0.0000 0.5000 x1  4 Rh 2.55
Rh: 0.0000 0.0000 0.0000 x1  4 Ga 2.54
Rh: 0.0000 0.5000 0.6232 x2  3 Ga 2.55-2.59, 2 Ge 2.55
Rh: 0.5000 0.5000 0.0000 x1  4 Ga 2.54